No. 1
A geometry-optimized LaCd3Ru structure. Source: Alexandria via LeMat-Bulk, functional PBE-GGA.

Output
E above lowest polymorph: 0.0 kJ per mole of atoms
Total magnetization: 0.000 μB/atom
Total energy: -3.242 eV per atom
Mass density: 7.0 g/cm³
Energy of formation from the pure elements: 0.74 eV/f.u.

Cell lengths 5.145, 5.145, 5.145 Å; angles 90.00, 90.00, 90.00 degrees
Fractional coordinates of all 5 atoms:
La  0.000  0.000  0.000
Cd  0.000  0.500  0.500
Cd  0.500  0.000  0.500
Cd  0.500  0.500  0.000
Ru  0.500  0.500  0.500

---

No. 2
A geometry-optimized LaCd2Ru structure. Source: Alexandria via LeMat-Bulk, functional PBE-GGA.

Output
Total magnetization: 0.000 μB/atom
Total energy: -3.883 eV per atom
Mass density: 8.4 g/cm³
Energy of formation from the pure elements: 0.50 eV/f.u.

Cell lengths 5.737, 11.332, 3.463 Å; angles 90.00, 125.18, 90.00 degrees
Fractional coordinates of all 8 atoms:
La  0.000  0.000  0.000
La  0.500  0.500  0.000
Cd  0.250  0.250  0.500
Cd  0.250  0.750  0.500
Cd  0.750  0.250  0.500
Cd  0.750  0.750  0.500
Ru  0.000  0.500  0.000
Ru  0.500  0.000  0.000

---

No. 3
A geometry-optimized LaCd2Ru2 structure. Source: Alexandria via LeMat-Bulk, functional PBE-GGA.

Output
E above lowest polymorph: 8.8 kJ per mole of atoms
Total magnetization: 0.000 μB/atom
Total energy: -4.900 eV per atom
Mass density: 9.3 g/cm³
Energy of formation from the pure elements: 0.81 eV/f.u.

Cell lengths 7.505, 7.505, 3.576 Å; angles 90.00, 90.00, 90.00 degrees
Fractional coordinates of all 10 atoms:
La  0.000  0.000  0.000
La  0.500  0.500  0.000
Cd  0.144  0.356  0.500
Cd  0.356  0.856  0.500
Cd  0.644  0.144  0.500
Cd  0.856  0.644  0.500
Ru  0.150  0.650  0.000
Ru  0.350  0.150  0.000
Ru  0.650  0.850  0.000
Ru  0.850  0.350  0.000

---

No. 4
A geometry-optimized LaCdRu2 structure. Source: Alexandria via LeMat-Bulk, functional PBE-GGA.

Output
Total magnetization: 0.002 μB/atom
Total energy: -5.658 eV per atom
Mass density: 9.6 g/cm³
Energy of formation from the pure elements: 1.76 eV/f.u.

Cell lengths 3.355, 3.355, 24.209 Å; angles 90.00, 90.00, 120.00 degrees
Fractional coordinates of all 12 atoms:
La  0.000  0.000  0.000
La  0.333  0.667  0.667
La  0.667  0.333  0.333
Cd  0.000  0.000  0.500
Cd  0.333  0.667  0.167
Cd  0.667  0.333  0.833
Ru  0.000  0.000  0.253
Ru  0.000  0.000  0.747
Ru  0.333  0.667  0.414
Ru  0.333  0.667  0.919
Ru  0.667  0.333  0.081
Ru  0.667  0.333  0.586

---

No. 5
A geometry-optimized LaCdRu2 structure. Source: Alexandria via LeMat-Bulk, functional PBE-GGA.

Output
Total magnetization: 0.114 μB/atom
Total energy: -5.957 eV per atom
Mass density: 9.6 g/cm³
Energy of formation from the pure elements: 0.56 eV/f.u.

Cell lengths 10.829, 3.105, 5.007 Å; angles 90.00, 111.15, 90.00 degrees
Fractional coordinates of all 8 atoms:
La  0.000  0.000  0.000
La  0.500  0.500  0.000
Cd  0.215  0.000  0.634
Cd  0.715  0.500  0.634
Ru  0.269  0.500  0.165
Ru  0.464  0.000  0.489
Ru  0.769  0.000  0.165
Ru  0.964  0.500  0.489

---

No. 6
A geometry-optimized La2CdRu structure. Source: Alexandria via LeMat-Bulk, functional PBE-GGA.

Output
Total magnetization: 0.000 μB/atom
Total energy: -5.274 eV per atom
Mass density: 7.6 g/cm³
Energy of formation from the pure elements: -1.05 eV/f.u.

Cell lengths 3.552, 3.841, 7.980 Å; angles 90.00, 97.79, 90.00 degrees
Fractional coordinates of all 4 atoms:
La  0.088  0.000  0.288
La  0.912  0.000  0.712
Cd  0.500  0.500  0.000
Ru  0.500  0.500  0.500

---

No. 7
A geometry-optimized LaCdRu2 structure. Source: Alexandria via LeMat-Bulk, functional PBE-GGA.

Output
Total magnetization: 0.432 μB/atom
Total energy: -5.698 eV per atom
Mass density: 9.3 g/cm³
Energy of formation from the pure elements: 1.60 eV/f.u.

Cell lengths 6.857, 6.857, 6.857 Å; angles 90.00, 90.00, 90.00 degrees
Fractional coordinates of all 16 atoms:
La  0.000  0.000  0.000
La  0.000  0.500  0.500
La  0.500  0.000  0.500
La  0.500  0.500  0.000
Cd  0.250  0.250  0.750
Cd  0.250  0.750  0.250
Cd  0.750  0.250  0.250
Cd  0.750  0.750  0.750
Ru  0.000  0.000  0.500
Ru  0.000  0.500  0.000
Ru  0.250  0.250  0.250
Ru  0.250  0.750  0.750
Ru  0.500  0.000  0.000
Ru  0.500  0.500  0.500
Ru  0.750  0.250  0.750
Ru  0.750  0.750  0.250

---

No. 8
A geometry-optimized LaCd2Ru2 structure. Source: Alexandria via LeMat-Bulk, functional PBE-GGA.

Output
E above lowest polymorph: 0.0 kJ per mole of atoms
Total magnetization: 0.205 μB/atom
Total energy: -4.991 eV per atom
Mass density: 8.5 g/cm³
Energy of formation from the pure elements: 0.35 eV/f.u.

Cell lengths 4.392, 4.392, 11.486 Å; angles 90.00, 90.00, 90.00 degrees
Fractional coordinates of all 10 atoms:
La  0.000  0.000  0.000
La  0.500  0.500  0.500
Cd  0.000  0.500  0.250
Cd  0.000  0.500  0.750
Cd  0.500  0.000  0.250
Cd  0.500  0.000  0.750
Ru  0.000  0.000  0.400
Ru  0.000  0.000  0.600
Ru  0.500  0.500  0.100
Ru  0.500  0.500  0.900

---

No. 9
A geometry-optimized La4CdRu structure. Source: Alexandria via LeMat-Bulk, functional PBE-GGA.

Output
E above lowest polymorph: 0.0 kJ per mole of atoms
Total magnetization: 0.000 μB/atom
Total energy: -5.292 eV per atom
Mass density: 7.1 g/cm³
Energy of formation from the pure elements: -1.85 eV/f.u.

Cell lengths 10.069, 10.069, 10.069 Å; angles 60.00, 60.00, 60.00 degrees
Fractional coordinates of all 24 atoms:
La  0.189  0.189  0.811
La  0.189  0.811  0.189
La  0.189  0.811  0.811
La  0.346  0.346  0.346
La  0.346  0.346  0.962
La  0.346  0.962  0.346
La  0.559  0.559  0.941
La  0.559  0.941  0.559
La  0.559  0.941  0.941
La  0.811  0.189  0.189
La  0.811  0.189  0.811
La  0.811  0.811  0.189
La  0.941  0.559  0.559
La  0.941  0.559  0.941
La  0.941  0.941  0.559
La  0.962  0.346  0.346
Cd  0.264  0.579  0.579
Cd  0.579  0.264  0.579
Cd  0.579  0.579  0.264
Cd  0.579  0.579  0.579
Ru  0.137  0.137  0.137
Ru  0.137  0.137  0.589
Ru  0.137  0.589  0.137
Ru  0.589  0.137  0.137

---

No. 10
A geometry-optimized LaCd2Ru structure. Source: Alexandria via LeMat-Bulk, functional PBE-GGA.

Output
Total magnetization: 0.000 μB/atom
Total energy: -4.101 eV per atom
Mass density: 8.2 g/cm³
Energy of formation from the pure elements: -0.37 eV/f.u.

Cell lengths 3.904, 4.115, 11.675 Å; angles 90.00, 90.00, 90.00 degrees
Fractional coordinates of all 8 atoms:
La  0.000  0.000  0.000
La  0.000  0.500  0.500
Cd  0.000  0.000  0.283
Cd  0.000  0.500  0.783
Cd  0.500  0.000  0.699
Cd  0.500  0.500  0.199
Ru  0.500  0.000  0.454
Ru  0.500  0.500  0.954

---

No. 11
A geometry-optimized La2CdRu structure. Source: Alexandria via LeMat-Bulk, functional PBE-GGA.

Output
Total magnetization: 0.000 μB/atom
Total energy: -5.079 eV per atom
Mass density: 7.4 g/cm³
Energy of formation from the pure elements: -0.27 eV/f.u.

Cell lengths 8.324, 8.324, 6.372 Å; angles 90.00, 90.00, 90.00 degrees
Fractional coordinates of all 16 atoms:
La  0.186  0.250  0.125
La  0.250  0.686  0.375
La  0.250  0.814  0.875
La  0.314  0.250  0.625
La  0.686  0.750  0.625
La  0.750  0.186  0.875
La  0.750  0.314  0.375
La  0.814  0.750  0.125
Cd  0.000  0.000  0.500
Cd  0.000  0.500  0.750
Cd  0.500  0.000  0.250
Cd  0.500  0.500  0.000
Ru  0.000  0.000  0.000
Ru  0.000  0.500  0.250
Ru  0.500  0.000  0.750
Ru  0.500  0.500  0.500

---

No. 12
A geometry-optimized La5Cd4Ru2 structure. Source: Alexandria via LeMat-Bulk, functional PBE-GGA.

Output
Total magnetization: 0.000 μB/atom
Total energy: -4.586 eV per atom
Mass density: 7.5 g/cm³
Energy of formation from the pure elements: -3.60 eV/f.u.

Cell lengths 8.265, 18.579, 3.887 Å; angles 90.00, 90.00, 90.00 degrees
Fractional coordinates of all 22 atoms:
La  0.000  0.000  0.000
La  0.119  0.407  0.000
La  0.241  0.720  0.000
La  0.259  0.220  0.000
La  0.381  0.907  0.000
La  0.500  0.500  0.000
La  0.619  0.093  0.000
La  0.741  0.780  0.000
La  0.759  0.280  0.000
La  0.881  0.593  0.000
Cd  0.055  0.849  0.500
Cd  0.207  0.567  0.500
Cd  0.293  0.067  0.500
Cd  0.445  0.349  0.500
Cd  0.555  0.651  0.500
Cd  0.707  0.933  0.500
Cd  0.793  0.433  0.500
Cd  0.945  0.151  0.500
Ru  0.025  0.308  0.500
Ru  0.475  0.808  0.500
Ru  0.525  0.192  0.500
Ru  0.975  0.692  0.500

---

No. 13
A geometry-optimized La2CdRu structure. Source: Alexandria via LeMat-Bulk, functional PBE-GGA.

Output
Total magnetization: 0.000 μB/atom
Total energy: -5.240 eV per atom
Mass density: 6.7 g/cm³
Energy of formation from the pure elements: -0.91 eV/f.u.

Cell lengths 4.170, 4.170, 24.348 Å; angles 90.00, 90.00, 120.00 degrees
Fractional coordinates of all 12 atoms:
La  0.000  0.000  0.000
La  0.000  0.000  0.208
La  0.333  0.667  0.667
La  0.333  0.667  0.875
La  0.667  0.333  0.333
La  0.667  0.333  0.542
Cd  0.000  0.000  0.438
Cd  0.333  0.667  0.105
Cd  0.667  0.333  0.772
Ru  0.000  0.000  0.603
Ru  0.333  0.667  0.270
Ru  0.667  0.333  0.937

---

No. 14
A geometry-optimized LaCd2Ru structure. Source: Alexandria via LeMat-Bulk, functional PBE-GGA.

Output
Total magnetization: 0.000 μB/atom
Total energy: -3.958 eV per atom
Mass density: 8.7 g/cm³
Energy of formation from the pure elements: 0.20 eV/f.u.

Cell lengths 3.358, 4.644, 5.667 Å; angles 90.00, 90.00, 90.00 degrees
Fractional coordinates of all 4 atoms:
La  0.000  0.000  0.000
Cd  0.500  0.500  0.270
Cd  0.500  0.500  0.730
Ru  0.000  0.000  0.500

---

No. 15
A geometry-optimized La3Cd3Ru2 structure. Source: Alexandria via LeMat-Bulk, functional PBE-GGA.

Output
Total magnetization: 0.000 μB/atom
Total energy: -4.773 eV per atom
Mass density: 7.6 g/cm³
Energy of formation from the pure elements: -2.10 eV/f.u.

Cell lengths 17.298, 4.731, 5.158 Å; angles 90.00, 98.64, 90.00 degrees
Fractional coordinates of all 16 atoms:
La  0.000  0.000  0.000
La  0.168  0.000  0.588
La  0.332  0.500  0.412
La  0.500  0.500  0.000
La  0.668  0.500  0.588
La  0.832  0.000  0.412
Cd  0.000  0.500  0.500
Cd  0.129  0.500  0.070
Cd  0.371  0.000  0.930
Cd  0.500  0.000  0.500
Cd  0.629  0.000  0.070
Cd  0.871  0.500  0.930
Ru  0.218  0.000  0.070
Ru  0.282  0.500  0.930
Ru  0.718  0.500  0.070
Ru  0.782  0.000  0.930

---

No. 16
A geometry-optimized LaCd2Ru structure. Source: Alexandria via LeMat-Bulk, functional PBE-GGA.

Output
Total magnetization: 0.279 μB/atom
Total energy: -3.691 eV per atom
Mass density: 8.9 g/cm³
Energy of formation from the pure elements: 1.27 eV/f.u.

Cell lengths 3.101, 3.101, 31.338 Å; angles 90.00, 90.00, 120.00 degrees
Fractional coordinates of all 12 atoms:
La  0.000  0.000  0.000
La  0.333  0.667  0.667
La  0.667  0.333  0.333
Cd  0.000  0.000  0.238
Cd  0.000  0.000  0.762
Cd  0.333  0.667  0.429
Cd  0.333  0.667  0.905
Cd  0.667  0.333  0.095
Cd  0.667  0.333  0.571
Ru  0.000  0.000  0.500
Ru  0.333  0.667  0.167
Ru  0.667  0.333  0.833

---

No. 17
A geometry-optimized La2CdRu structure. Source: Alexandria via LeMat-Bulk, functional PBE-GGA.

Output
Total magnetization: 0.000 μB/atom
Total energy: -5.290 eV per atom
Mass density: 6.9 g/cm³
Energy of formation from the pure elements: -1.11 eV/f.u.

Cell lengths 13.766, 5.486, 6.563 Å; angles 90.00, 107.46, 90.00 degrees
Fractional coordinates of all 16 atoms:
La  0.062  0.000  0.283
La  0.156  0.500  0.815
La  0.344  0.000  0.185
La  0.438  0.500  0.717
La  0.562  0.500  0.283
La  0.656  0.000  0.815
La  0.844  0.500  0.185
La  0.938  0.000  0.717
Cd  0.217  0.500  0.348
Cd  0.283  0.000  0.652
Cd  0.717  0.000  0.348
Cd  0.783  0.500  0.652
Ru  0.123  0.000  0.850
Ru  0.377  0.500  0.150
Ru  0.623  0.500  0.850
Ru  0.877  0.000  0.150

---

No. 18
A geometry-optimized La2CdRu structure. Source: Alexandria via LeMat-Bulk, functional PBE-GGA.

Output
Total magnetization: 0.000 μB/atom
Total energy: -5.262 eV per atom
Mass density: 7.4 g/cm³
Energy of formation from the pure elements: -1.00 eV/f.u.

Cell lengths 4.735, 4.022, 6.284 Å; angles 90.00, 112.05, 90.00 degrees
Fractional coordinates of all 4 atoms:
La  0.000  0.000  0.000
La  0.306  0.500  0.611
Cd  0.608  0.500  0.214
Ru  0.794  0.000  0.587

---

No. 19
A geometry-optimized La6CdRu structure. Source: Alexandria via LeMat-Bulk, functional PBE-GGA.

Output
Total magnetization: 0.000 μB/atom
Total energy: -5.065 eV per atom
Mass density: 6.3 g/cm³
Energy of formation from the pure elements: -0.77 eV/f.u.

Cell lengths 8.475, 10.244, 6.638 Å; angles 90.00, 106.57, 90.00 degrees
Fractional coordinates of all 16 atoms:
La  0.103  0.193  0.295
La  0.103  0.807  0.295
La  0.204  0.500  0.094
La  0.296  0.000  0.906
La  0.397  0.307  0.705
La  0.397  0.693  0.705
La  0.603  0.307  0.295
La  0.603  0.693  0.295
La  0.704  0.000  0.094
La  0.796  0.500  0.906
La  0.897  0.193  0.705
La  0.897  0.807  0.705
Cd  0.000  0.500  0.500
Cd  0.500  0.000  0.500
Ru  0.000  0.000  0.000
Ru  0.500  0.500  0.000

---

No. 20
A geometry-optimized LaCdRu2 structure. Source: Alexandria via LeMat-Bulk, functional PBE-GGA.

Output
Total magnetization: 0.202 μB/atom
Total energy: -5.808 eV per atom
Mass density: 9.6 g/cm³
Energy of formation from the pure elements: 1.16 eV/f.u.

Cell lengths 4.057, 4.057, 9.543 Å; angles 90.00, 90.00, 90.00 degrees
Fractional coordinates of all 8 atoms:
La  0.000  0.000  0.000
La  0.500  0.500  0.500
Cd  0.000  0.500  0.250
Cd  0.500  0.000  0.750
Ru  0.000  0.000  0.500
Ru  0.000  0.500  0.750
Ru  0.500  0.000  0.250
Ru  0.500  0.500  0.000